Here is a relaxed Cr2HgF crystal from Alexandria via LeMat-Bulk. Energies are from GGA+U.

Calculated values
**E**: -4.48 eV per atom
**Total magnetic moment**: 38.2 μB per cell
**Density of states at the Fermi level**: 7.854 states/eV/cell
**Distance to the lowest polymorph of the same formula**: 0.1898 eV per atom
**Crystal system**: cubic

Cell: 6.662 6.662 6.662 Å, 90.00 90.00 90.00°
Space group Fm-3m (No. 225)
Asymmetric unit:
Cr (0.250, 0.250, 0.250) (multiplicity 8)
Hg (0.000, 0.000, 0.000) (multiplicity 4)
F (0.000, 0.000, 0.500) (multiplicity 4)